(1)
First-principles (PBEsol) data for a relaxed Mg2CdSb2 crystal, as listed in Alexandria via LeMat-Bulk.

abc: 8.602 8.602 3.284
angles: 90.00 90.00 90.00
Space group P4/mbm (No. 127)
One atom of each set of equivalent atoms:
Mg 0.138 0.362 0.000 [4 per cell]
Cd 0.000 0.000 0.500 [2 per cell]
Sb 0.160 0.660 0.500 [4 per cell]

Results
* energy relative to the lowest polymorph listed for this composition: 0.000 eV/atom
* formation energy without anion corrections: -0.125 eV/atom

---

(2)
First-principles (PBEsol) data for a relaxed Zn8Mo crystal, as listed in Alexandria via LeMat-Bulk.

abc: 8.153 8.153 3.751
angles: 90.00 90.00 90.00
Space group I4/mmm (No. 139)
One atom of each set of equivalent atoms:
Zn 0.000 0.336 0.000 [8 per cell]
Zn 0.171 0.171 0.500 [8 per cell]
Mo 0.000 0.000 0.000 [2 per cell]

Results
* calculated formation energy: 0.0617 eV per atom

---

(3)
First-principles (PBEsol) data for a relaxed RbCrPb3 crystal, as listed in Alexandria via LeMat-Bulk.

abc: 5.920 5.920 5.920
angles: 90.00 90.00 90.00
Space group Pm-3m (No. 221)
One atom of each set of equivalent atoms:
Rb 0.000 0.000 0.000 [1 per cell]
Cr 0.500 0.500 0.500 [1 per cell]
Pb 0.000 0.000 0.500 [3 per cell]

Results
* calculated formation energy: 1.6878 eV per atom